{"formula": "CoTeF2", "functional": "PBE+U", "state": "relaxed", "cell": [[1.833, 0.000, 9.596], [-0.916, 1.587, 9.596], [-0.916, -1.587, 9.596]], "species": ["Co", "F", "F", "Te"], "frac_coords": [[0.500, 0.500, 0.500], [0.133, 0.133, 0.133], [0.867, 0.867, 0.867], [0.000, 0.000, 0.000]], "relative_energy_ev_per_fu": 0.00, "dos_at_fermi_per_ev_atom": 0.2924, "energy_ev_per_cell": -17.73, "volume_a3_per_atom": 20.93}